# Na4CeZr3S8 PBE optimized geometry
data_Na4CeZr3S8
_symmetry_space_group_name_H-M 'R -3 m'
_symmetry_Int_Tables_number 166
_symmetry_space_group_name_Hall '-R 3 2"'
_cell_length_a 7.5652
_cell_length_b 7.5652
_cell_length_c 20.4381
_cell_angle_alpha 90.00
_cell_angle_beta 90.00
_cell_angle_gamma 120.00
loop_
_atom_site_label
_atom_site_fract_x
_atom_site_fract_y
_atom_site_fract_z
_atom_site_occupancy
Na1 0.0000 0.0000 0.0000 1
Na2 0.0000 0.5000 0.0000 1
Ce1 0.0000 0.0000 0.5000 1
Zr1 0.0000 0.5000 0.5000 1
S1 0.0000 0.0000 0.2407 1
S2 0.0153 0.5077 0.7569 1
# Spin magnetization ... 1.4 μB/f.u.
# Raw formation energy ... -1.531 eV/atom